A plane-wave DFT calculation with PBE was carried out for a geometry-optimized AlTlCo structure.

It has space group Cm (No. 8), with a = 11.759 Å, b = 2.932 Å, c = 3.055 Å, α = 90.00°, β = 90.24° and γ = 90.00°. Symmetry generates all atoms from Al at (0.000, 0.000, 0.000), Tl at (0.270, 0.000, 0.003) and Co at (0.103, 0.500, 0.502).

The calculation puts the density at 9.15 Mg/m³. Its crystal system is monoclinic. The energy relative to the elements is 0.138 eV/atom. Its volume is 17.6 Å³ per atom.



A plane-wave DFT calculation with PBE was carried out for a geometry-optimized Al2TlCo structure.

It has space group Imm2 (No. 44), with a = 2.804 Å, b = 4.042 Å, c = 12.846 Å, α = 90.00°, β = 90.00° and γ = 90.00°. Symmetry generates all atoms from Al at (0.000, 0.000, 0.000), Al at (0.000, 0.500, 0.159), Tl at (0.000, 0.500, 0.809) and Co at (0.000, 0.000, 0.507).

The calculation puts the density at 7.24 Mg/m³. Its crystal system is orthorhombic. The energy relative to the elements is -0.010 eV/atom. Its volume is 18.2 Å³ per atom.



A plane-wave DFT calculation with PBE was carried out for a geometry-optimized AlTl2Co structure.

It has space group P4/mmm (No. 123), with a = 4.482 Å, b = 4.482 Å, c = 4.047 Å, α = 90.00°, β = 90.00° and γ = 90.00°. Symmetry generates all atoms from Al at (0.000, 0.000, 0.000), Tl at (0.000, 0.500, 0.500) and Co at (0.500, 0.500, 0.000).

The calculation puts the density at 10.11 Mg/m³. Its crystal system is tetragonal. The energy relative to the elements is 0.586 eV/atom. Its volume is 20.3 Å³ per atom.



A plane-wave DFT calculation with PBE was carried out for a geometry-optimized AlTlCo structure.

It has space group P-6m2 (No. 187), with a = 4.1733 Å, b = 4.1733 Å, c = 3.4515 Å, α = 90.00°, β = 90.00° and γ = 120.00°. Symmetry generates all atoms from Al at (0.0000, 0.0000, 0.0000), Tl at (0.3333, 0.6667, 0.5000) and Co at (0.6667, 0.3333, 0.0000).

The calculation puts the density at 9.26 Mg/m³. Its crystal system is hexagonal. The energy relative to the elements is 0.330 eV/atom. Its volume is 17.4 Å³ per atom.



A plane-wave DFT calculation with PBE was carried out for a geometry-optimized Al3TlCo structure.

It has space group Pm-3m (No. 221), with a = 4.605 Å, b = 4.605 Å, c = 4.605 Å, α = 90.00°, β = 90.00° and γ = 90.00°. Symmetry generates all atoms from Al at (0.000, 0.000, 0.500), Tl at (0.500, 0.500, 0.500) and Co at (0.000, 0.000, 0.000).

The calculation puts the density at 5.85 Mg/m³. Its crystal system is cubic. The energy relative to the elements is -0.037 eV/atom. Its volume is 19.5 Å³ per atom.



A plane-wave DFT calculation with PBE was carried out for a geometry-optimized Al2TlCo2 structure.

It has space group P4/mbm (No. 127), with a = 7.064 Å, b = 7.064 Å, c = 2.915 Å, α = 90.00°, β = 90.00° and γ = 90.00°. Symmetry generates all atoms from Al at (0.139, 0.361, 0.000), Tl at (0.000, 0.000, 0.500) and Co at (0.151, 0.651, 0.500).

The calculation puts the density at 8.59 Mg/m³. Its crystal system is tetragonal. The energy relative to the elements is -0.085 eV/atom. Its volume is 14.5 Å³ per atom.



A plane-wave DFT calculation with PBE was carried out for a geometry-optimized AlTl2Co structure.

It has space group Fm-3m (No. 225), with a = 6.883 Å, b = 6.883 Å, c = 6.883 Å, α = 90.00°, β = 90.00° and γ = 90.00°. Symmetry generates all atoms from Al at (0.000, 0.000, 0.000), Tl at (0.250, 0.250, 0.250) and Co at (0.000, 0.000, 0.500).

The calculation puts the density at 10.08 Mg/m³. Its crystal system is cubic. The energy relative to the elements is 0.618 eV/atom. Its volume is 20.4 Å³ per atom.



A plane-wave DFT calculation with PBE was carried out for a geometry-optimized Al2TlCo structure.

It has space group C2/m (No. 12), with a = 8.002 Å, b = 3.055 Å, c = 6.147 Å, α = 90.00°, β = 102.60° and γ = 90.00°. Symmetry generates all atoms from Al at (0.228, 0.000, 0.168), Tl at (0.000, 0.000, 0.500) and Co at (0.000, 0.500, 0.000).

The calculation puts the density at 7.18 Mg/m³. Its crystal system is monoclinic. The energy relative to the elements is 0.160 eV/atom. Its volume is 18.3 Å³ per atom.



What is the energy relative to the elements in the second record?
-0.010 eV/atom



energy relative to the elements of number 8 (Al2TlCo)?
0.160 eV/atom



Which of these has the lowest energy relative to the elements?
Al2TlCo2



What is the energy relative to the elements in the third record?
0.586 eV/atom